## Be2HgIr (GGA-PBE)

Data for an optimized crystal structure of Be2HgIr.

a = 2.9798 Å, b = 2.9798 Å, c = 5.9552 Å
α = 90.00°, β = 90.00°, γ = 90.00°
Positions (direct):
Be 0.0000 0.0000 0.9957
Be 0.5000 0.5000 0.2030
Hg 0.0000 0.0000 0.4674
Ir 0.5000 0.5000 0.8339

Summary:
**D(E_F)**: 1.176 states/eV per cell
**Volume**: 53 Å³ per cell
**Symmetry**: P4mm
**Total magnetic moment**: 0.000 μB per cell
**E**: -4.153 eV per atom